[1]
Density functional theory data (GGA-PBE) for a relaxed GdDyZnOs crystal.

Cell and atoms, written as POSCAR:
```
GdDyZnOs
1.0
-4.292 -1.289 2.052
-0.053 -2.883 3.998
-1.302 1.870 4.371
Dy Zn Os Gd
1 1 1 1
Cartesian
-4.236 -1.727 7.816
0.000 0.000 0.000
-2.824 -1.151 5.211
-1.412 -0.576 2.605
```

Properties
Crystal system: cubic
Formation enthalpy at 0 K in meV/atom: -253


[2]
Density functional theory data (GGA-PBE) for a relaxed InH3Pb crystal.

Cell and atoms, written as POSCAR:
```
InH3Pb
1.0
-0.922 2.864 3.181
-3.923 -1.866 0.543
1.711 -2.736 2.959
H In Pb
3 1 1
Cartesian
-1.962 -0.933 0.272
-0.461 1.432 1.591
0.856 -1.368 1.480
-1.567 -0.869 3.342
0.000 0.000 0.000
```

Properties
Crystal system: cubic
E above lowest polymorph in meV/atom: 0.0


Q: Which ρ values were calculated for the entries above? A: 11.3; 6.4, in Mg/m³.
Q: Which Fermi-level density of states values were calculated for the entries above? A: 0.7567; 0.2201, in states/eV per atom.